(1)
Below is crystalline ZnPSe2 at its relaxed geometry, with properties calculated at the PBE level.

abc: 3.066 3.066 8.553
angles: 90.00 90.00 90.00
Fractional positions:
Zn 0.000 0.000 0.526
P 0.500 0.500 0.749
Se 0.000 0.000 0.915
Se 0.500 0.500 0.310

(2)
Below is crystalline ZnPSe at its relaxed geometry, with properties calculated at the PBE level.

abc: 4.412 4.412 4.412
angles: 60.00 60.00 60.00
Fractional positions:
Zn 0.500 0.500 0.500
P 0.750 0.750 0.750
Se 0.000 0.000 0.000

no.,energy above the most stable polymorph in this dataset (meV per atom)
1,459
2,381